{"formula": "Li5Pm2Cd12", "functional": "PBE-GGA", "state": "relaxed", "lattice": [[4.931, 2.847, 4.848], [-4.931, 2.847, 4.848], [0.000, -5.694, 4.848]], "species": ["Li", "Li", "Li", "Li", "Li", "Pm", "Pm", "Cd", "Cd", "Cd", "Cd", "Cd", "Cd", "Cd", "Cd", "Cd", "Cd", "Cd", "Cd"], "fractional_positions": [[0.000, 0.000, 0.500], [0.000, 0.500, 0.000], [0.099, 0.099, 0.099], [0.500, 0.000, 0.000], [0.901, 0.901, 0.901], [0.345, 0.345, 0.345], [0.655, 0.655, 0.655], [0.000, 0.296, 0.704], [0.000, 0.704, 0.296], [0.140, 0.655, 0.655], [0.296, 0.000, 0.704], [0.296, 0.704, 0.000], [0.345, 0.345, 0.860], [0.345, 0.860, 0.345], [0.655, 0.140, 0.655], [0.655, 0.655, 0.140], [0.704, 0.000, 0.296], [0.704, 0.296, 0.000], [0.860, 0.345, 0.345]], "sg": "R-3m, No. 166", "formation_energy_ev_per_fu": -4.53, "e_tot_ev_per_atom": -1.82}

{"formula": "GeSbSe4", "functional": "PBE-GGA", "state": "relaxed", "lattice": [[8.539, 0.000, 0.000], [0.000, 6.204, 0.000], [0.000, 0.000, 6.494]], "species": ["Ge", "Ge", "Sb", "Sb", "Se", "Se", "Se", "Se", "Se", "Se", "Se", "Se"], "fractional_positions": [[0.000, 0.116, 0.000], [0.500, 0.884, 0.500], [0.000, 0.508, 0.408], [0.500, 0.492, 0.908], [0.000, 0.125, 0.635], [0.000, 0.730, 0.022], [0.217, 0.276, 0.191], [0.283, 0.724, 0.691], [0.500, 0.270, 0.522], [0.500, 0.875, 0.135], [0.717, 0.724, 0.691], [0.783, 0.276, 0.191]], "sg": "Pmn2_1, No. 31", "formation_energy_uncorrected_mev_per_atom": -70.7, "e_tot_ev_per_atom": -3.85}

{"formula": "Y2ZnSe4", "functional": "PBE-GGA", "state": "relaxed", "lattice": [[0.000, 5.772, 5.772], [5.772, 0.000, 5.772], [5.772, 5.772, 0.000]], "species": ["Y", "Y", "Y", "Y", "Zn", "Zn", "Se", "Se", "Se", "Se", "Se", "Se", "Se", "Se"], "fractional_positions": [[0.000, 0.000, 0.000], [0.000, 0.000, 0.500], [0.000, 0.500, 0.000], [0.500, 0.000, 0.000], [0.375, 0.375, 0.375], [0.625, 0.625, 0.625], [0.245, 0.752, 0.752], [0.248, 0.248, 0.248], [0.248, 0.248, 0.755], [0.248, 0.755, 0.248], [0.752, 0.245, 0.752], [0.752, 0.752, 0.245], [0.752, 0.752, 0.752], [0.755, 0.248, 0.248]], "sg": "Fd-3m, No. 227", "formation_energy_uncorrected_mev_per_atom": -1514.2, "e_tot_ev_per_atom": -5.53}

{"formula": "Mg3Cd2Sn2", "functional": "PBE-GGA", "state": "relaxed", "lattice": [[-1.748, 2.277, 10.597], [1.748, -2.277, 10.597], [1.748, 2.277, -10.597]], "species": ["Mg", "Mg", "Mg", "Cd", "Cd", "Sn", "Sn"], "fractional_positions": [[0.000, 0.000, 0.000], [0.296, 0.796, 0.500], [0.704, 0.204, 0.500], [0.434, 0.434, 0.000], [0.566, 0.566, 0.000], [0.155, 0.655, 0.500], [0.845, 0.345, 0.500]], "sg": "Immm, No. 71", "formation_energy_ev_per_fu": -0.39, "de_polymorph_ev_per_atom": 0.0397, "e_tot_ev_per_atom": -2.14}

{"formula": "TiVZn2", "functional": "PBE-GGA", "state": "relaxed", "lattice": [[-3.564, 3.564, 2.460], [3.564, -3.564, 2.460], [3.564, 3.564, -2.460]], "species": ["Ti", "Ti", "V", "V", "Zn", "Zn", "Zn", "Zn"], "fractional_positions": [[0.000, 0.000, 0.000], [0.750, 0.250, 0.500], [0.250, 0.750, 0.500], [0.500, 0.500, 0.000], [0.137, 0.125, 0.512], [0.375, 0.863, 0.988], [0.613, 0.625, 0.488], [0.875, 0.387, 0.012]], "sg": "I-42d, No. 122", "formation_energy_ev_per_fu": 1.32, "de_polymorph_ev_per_atom": 0.4096, "e_tot_ev_per_atom": -4.56}

{"formula": "Li2CuPt", "functional": "PBE-GGA", "state": "relaxed", "lattice": [[2.977, 0.000, 0.000], [0.000, 4.162, 0.000], [0.000, 0.000, 4.278]], "species": ["Li", "Li", "Cu", "Pt"], "fractional_positions": [[0.000, 0.000, 0.000], [0.500, 0.000, 0.500], [0.000, 0.500, 0.500], [0.500, 0.500, 0.000]], "sg": "Pmmm, No. 47", "formation_energy_ev_per_fu": -1.48, "de_polymorph_ev_per_atom": 0.0104, "e_tot_ev_per_atom": -3.86}

{"formula": "Ca2AgPt2", "functional": "PBE-GGA", "state": "relaxed", "lattice": [[-2.252, 2.908, 4.211], [2.252, -2.908, 4.211], [2.252, 2.908, -4.211]], "species": ["Ca", "Ca", "Ag", "Pt", "Pt"], "fractional_positions": [[0.202, 0.202, 0.000], [0.798, 0.798, 0.000], [0.500, 0.000, 0.500], [0.226, 0.500, 0.726], [0.774, 0.500, 0.274]], "sg": "Immm, No. 71", "formation_energy_ev_per_fu": -3.87, "de_polymorph_ev_per_atom": 0.0000, "e_tot_ev_per_atom": -4.56}

Number 1: D(E_F) 0.563 states/eV per atom. Number 2: D(E_F) 0.685 states/eV per atom. Number 3: D(E_F) 0.034 states/eV per atom. Number 4: D(E_F) 0.362 states/eV per atom. Number 5: D(E_F) 0.977 states/eV per atom. Number 6: D(E_F) 0.230 states/eV per atom. Number 7: D(E_F) 0.219 states/eV per atom.